The following is a PBE-GGA calculation of a relaxed SnTe2PbN crystal, from Alexandria.

a b c (Å): 5.9314 5.9314 4.0206
angles (deg): 90.00 90.00 90.00
With the nearest neighbours (Å) after each atom.
Element x y z (fractional)
Te  0.5000  0.0000  0.0000  2 Sn 2.97
Te  0.0000  0.5000  0.0000  2 Sn 2.97
Pb  0.5000  0.5000  0.5000  8 Te 3.58
N  0.0000  0.0000  0.5000  2 Sn 2.01
Sn  0.0000  0.0000  0.0000  2 N 2.01

Output
Relative energy among the computed polymorphs ... 0.00 eV/f.u.
Theoretical density ... 6.99 g cm⁻³
DFT total energy ... -3.94 eV per atom
Total magnetization ... 0.8 μB per cell
Formation energy (no corrections) ... 0.520 eV per atom

=====

The following is a PBE-GGA calculation of a relaxed VSnPb2N crystal, from Alexandria.

a b c (Å): 5.0730 4.3062 5.0730
angles (deg): 90.00 90.00 90.00
With the nearest neighbours (Å) after each atom.
Element x y z (fractional)
V  0.5000  0.5000  0.5000  8 Pb 3.33, 4 Sn 3.59
Pb  0.0000  0.0000  0.5000  2 N 2.54
Pb  0.5000  0.0000  0.0000  2 N 2.54
Sn  0.0000  0.5000  0.0000  2 N 2.15
N  0.0000  0.0000  0.0000  2 Sn 2.15

Output
Theoretical density ... 8.96 g cm⁻³
DFT total energy ... -4.78 eV per atom
Total magnetization ... 0.0 μB per cell
Formation energy (no corrections) ... 0.996 eV per atom

=====

The following is a PBE-GGA calculation of a relaxed Y4SnPbN crystal, from Alexandria.

a b c (Å): 6.6875 6.6860 8.7089
angles (deg): 90.00 112.58 90.00
With the nearest neighbours (Å) after each atom.
Element x y z (fractional)
Y  0.0000  0.0000  0.5000  2 N 2.36
Y  0.4100  0.7500  0.8201  1 N 2.58
Y  0.5900  0.2500  0.1799  1 N 2.58
Y  0.5000  0.5000  0.5000  2 N 2.36
Y  0.9078  0.2500  0.8156  1 N 2.53
Y  0.0000  0.5000  0.5000  2 N 2.36
Y  0.5000  0.0000  0.5000  2 N 2.36
Y  0.0922  0.7500  0.1844  1 N 2.53
N  0.2495  0.7500  0.4990  6 Y 2.36-2.58
N  0.7505  0.2500  0.5010  6 Y 2.36-2.58
Pb  0.8947  0.7500  0.7895  9 Y 3.18-3.35
Pb  0.1053  0.2500  0.2105  9 Y 3.18-3.35
Sn  0.3919  0.2500  0.7838  9 Y 3.19-3.36
Sn  0.6081  0.7500  0.2162  9 Y 3.19-3.36

Output
Theoretical density ... 6.42 g cm⁻³
DFT total energy ... -6.92 eV per atom
Total magnetization ... 0.0 μB per cell
Formation energy (no corrections) ... -0.939 eV per atom

=====

The following is a PBE-GGA calculation of a relaxed Sr9Pb3N2 crystal, from Alexandria.

a b c (Å): 7.5411 7.5411 9.2652
angles (deg): 90.00 90.00 120.00
With the nearest neighbours (Å) after each atom.
Element x y z (fractional)
Sr  0.8247  0.1753  0.3209  1 N 2.49
Sr  0.1753  0.8247  0.6791  1 N 2.49
Sr  0.6495  0.8247  0.6791  1 N 2.49
Sr  0.5000  0.0000  0.0000  2 N 2.69
Sr  0.3505  0.1753  0.3209  1 N 2.49
Sr  0.5000  0.5000  0.0000  2 N 2.69
Sr  0.0000  0.5000  0.0000  2 N 2.69
Sr  0.1753  0.3505  0.6791  1 N 2.49
Sr  0.8247  0.6495  0.3209  1 N 2.49
Pb  0.6667  0.3333  0.6621  12 Sr 3.78-3.81
Pb  0.0000  0.0000  0.0000  12 Sr 3.75-3.77
Pb  0.3333  0.6667  0.3379  12 Sr 3.78-3.81
N  0.3333  0.6667  0.8290  6 Sr 2.49-2.69
N  0.6667  0.3333  0.1710  6 Sr 2.49-2.69

Output
Theoretical density ... 5.23 g cm⁻³
DFT total energy ... -3.67 eV per atom
Total magnetization ... 0.8 μB per cell
Formation energy (no corrections) ... -0.609 eV per atom

=====

The following is a PBE-GGA calculation of a relaxed Sr12Pb3N5 crystal, from Alexandria.

a b c (Å): 14.9018 14.9018 14.9018
angles (deg): 109.47 109.47 109.47
With the nearest neighbours (Å) after each atom.
Element x y z (fractional)
Sr  0.6945  0.1105  0.0095  2 N 2.45-2.74
Sr  0.8055  0.4905  0.3895  2 N 2.45-2.74
Sr  0.6105  0.6010  0.9160  2 N 2.45-2.74
Sr  0.1850  0.0840  0.6945  2 N 2.45-2.74
Sr  0.9160  0.1010  0.6105  2 N 2.45-2.74
Sr  0.1010  0.9160  0.1105  2 N 2.45-2.74
Sr  0.5840  0.8895  0.3990  2 N 2.45-2.74
Sr  0.6105  0.0095  0.1945  2 N 2.45-2.74
Sr  0.1105  0.4160  0.1010  2 N 2.45-2.74
Sr  0.8150  0.8990  0.0095  2 N 2.45-2.74
Sr  0.8150  0.9160  0.3055  2 N 2.45-2.74
Sr  0.3990  0.3895  0.5840  2 N 2.45-2.74
Sr  0.1945  0.5095  0.6105  2 N 2.45-2.74
Sr  0.6945  0.5840  0.1850  2 N 2.45-2.74
Sr  0.0095  0.6105  0.6945  2 N 2.45-2.74
Sr  0.4905  0.6850  0.1010  2 N 2.45-2.74
Sr  0.3990  0.0095  0.3150  2 N 2.45-2.74
Sr  0.1850  0.1010  0.9905  2 N 2.45-2.74
Sr  0.6010  0.6105  0.4160  2 N 2.45-2.74
Sr  0.5095  0.3150  0.8990  2 N 2.45-2.74
Sr  0.8055  0.3150  0.9160  2 N 2.45-2.74
Sr  0.0095  0.3990  0.8150  2 N 2.45-2.74
Sr  0.8895  0.3055  0.4905  2 N 2.45-2.74
Sr  0.3150  0.8055  0.4160  2 N 2.45-2.74
Sr  0.3055  0.8895  0.9905  2 N 2.45-2.74
Sr  0.0840  0.1850  0.1945  2 N 2.45-2.74
Sr  0.4905  0.8055  0.8895  2 N 2.45-2.74
Sr  0.8895  0.5840  0.8990  2 N 2.45-2.74
Sr  0.0840  0.8990  0.3895  2 N 2.45-2.74
Sr  0.3895  0.3990  0.0840  2 N 2.45-2.74
Sr  0.9905  0.6010  0.1850  2 N 2.45-2.74
Sr  0.9905  0.3895  0.3055  2 N 2.45-2.74
Sr  0.3055  0.4160  0.8150  2 N 2.45-2.74
Sr  0.1945  0.6850  0.0840  2 N 2.45-2.74
Sr  0.3150  0.5095  0.3990  2 N 2.45-2.74
Sr  0.3895  0.9905  0.8055  2 N 2.45-2.74
Sr  0.1010  0.1850  0.4905  2 N 2.45-2.74
Sr  0.8990  0.0840  0.8895  2 N 2.45-2.74
Sr  0.5840  0.6945  0.6850  2 N 2.45-2.74
Sr  0.6850  0.1945  0.5840  2 N 2.45-2.74
Sr  0.4160  0.3055  0.3150  2 N 2.45-2.74
Sr  0.5095  0.1945  0.1105  2 N 2.45-2.74
Sr  0.6010  0.9905  0.6850  2 N 2.45-2.74
Sr  0.1105  0.6945  0.5095  2 N 2.45-2.74
Sr  0.6850  0.4905  0.6010  2 N 2.45-2.74
Sr  0.4160  0.1105  0.6010  2 N 2.45-2.74
Sr  0.8990  0.8150  0.5095  2 N 2.45-2.74
Sr  0.9160  0.8150  0.8055  2 N 2.45-2.74
N  0.5000  0.0000  0.5000  6 Sr 2.74
N  0.0000  0.0000  0.5000  6 Sr 2.74
N  0.1250  0.7500  0.3750  4 Sr 2.45
N  0.2500  0.8750  0.1250  4 Sr 2.45
N  0.8750  0.2500  0.6250  4 Sr 2.45
N  0.7500  0.6250  0.3750  4 Sr 2.45
N  0.0000  0.5000  0.5000  6 Sr 2.74
N  0.0000  0.5000  0.0000  6 Sr 2.74
N  0.5000  0.0000  0.0000  6 Sr 2.74
N  0.0000  0.0000  0.0000  6 Sr 2.74
N  0.3750  0.1250  0.7500  4 Sr 2.45
N  0.1250  0.3750  0.2500  4 Sr 2.45
N  0.2500  0.3750  0.6250  4 Sr 2.45
N  0.5000  0.5000  0.0000  6 Sr 2.74
N  0.5000  0.5000  0.5000  6 Sr 2.74
N  0.6250  0.7500  0.8750  4 Sr 2.45
N  0.7500  0.1250  0.8750  4 Sr 2.45
N  0.6250  0.8750  0.2500  4 Sr 2.45
N  0.8750  0.6250  0.7500  4 Sr 2.45
N  0.3750  0.2500  0.1250  4 Sr 2.45
Pb  0.2500  0.6250  0.8750  8 Sr 3.40-3.58
Pb  0.7500  0.3750  0.1250  8 Sr 3.40-3.58
Pb  0.1250  0.2500  0.8750  8 Sr 3.40-3.58
Pb  0.3750  0.6250  0.2500  8 Sr 3.40-3.58
Pb  0.2500  0.1250  0.3750  8 Sr 3.40-3.58
Pb  0.3750  0.7500  0.6250  8 Sr 3.40-3.58
Pb  0.8750  0.1250  0.2500  8 Sr 3.40-3.58
Pb  0.7500  0.8750  0.6250  8 Sr 3.40-3.58
Pb  0.1250  0.8750  0.7500  8 Sr 3.40-3.58
Pb  0.6250  0.3750  0.7500  8 Sr 3.40-3.58
Pb  0.8750  0.7500  0.1250  8 Sr 3.40-3.58
Pb  0.6250  0.2500  0.3750  8 Sr 3.40-3.58

Output
Theoretical density ... 4.54 g cm⁻³
DFT total energy ... -4.08 eV per atom
Total magnetization ... 0.0 μB per cell
Formation energy (no corrections) ... -0.432 eV per atom

=====

The following is a PBE-GGA calculation of a relaxed SrPb2N crystal, from Alexandria.

a b c (Å): 9.0730 9.0730 6.9362
angles (deg): 49.15 49.15 90.00
With the nearest neighbours (Å) after each atom.
Element x y z (fractional)
N  0.5000  0.5000  0.0000  2 Sr 2.64, 4 Pb 2.68
N  0.2500  0.7500  0.5000  2 Sr 2.64, 4 Pb 2.68
Pb  0.2361  0.6250  0.2500  2 N 2.68
Pb  0.3750  0.4861  0.7500  2 N 2.68
Pb  0.8750  0.7639  0.7500  2 N 2.68
Pb  0.5139  0.1250  0.2500  2 N 2.68
Sr  0.7500  0.2500  0.5000  2 N 2.64
Sr  0.0000  0.0000  0.0000  2 N 2.64

Output
Theoretical density ... 7.90 g cm⁻³
DFT total energy ... -4.18 eV per atom
Total magnetization ... 0.0 μB per cell
Formation energy (no corrections) ... 0.174 eV per atom

=====

The following is a PBE-GGA calculation of a relaxed Sr5Pb2N crystal, from Alexandria.

a b c (Å): 7.5558 9.4527 15.1531
angles (deg): 90.00 90.00 90.00
With the nearest neighbours (Å) after each atom.
Element x y z (fractional)
Sr  0.2500  0.5296  0.2993  1 N 2.48
Sr  0.5002  0.6612  0.8856  1 N 2.53
Sr  0.0002  0.3388  0.1144  1 N 2.53
Sr  0.4998  0.3388  0.1144  1 N 2.53
Sr  0.0000  0.0000  0.0000  2 N 2.72
Sr  0.2500  0.0296  0.2007  1 N 2.48
Sr  0.5002  0.1612  0.6144  1 N 2.53
Sr  0.9998  0.6612  0.8856  1 N 2.53
Sr  0.7500  0.9704  0.7993  1 N 2.48
Sr  0.7500  0.7098  0.1001  1 N 2.72
Sr  0.7500  0.2098  0.3999  1 N 2.72
Sr  0.9998  0.1612  0.6144  1 N 2.53
Sr  0.5000  0.0000  0.0000  2 N 2.72
Sr  0.7500  0.4704  0.7007  1 N 2.48
Sr  0.5000  0.5000  0.5000  2 N 2.72
Sr  0.0000  0.5000  0.5000  2 N 2.72
Sr  0.0002  0.8388  0.3856  1 N 2.53
Sr  0.4998  0.8388  0.3856  1 N 2.53
Sr  0.2500  0.7902  0.6001  1 N 2.72
Sr  0.2500  0.2902  0.8999  1 N 2.72
Pb  0.2500  0.4734  0.7058  10 Sr 3.40-3.78
Pb  0.7500  0.5266  0.2942  10 Sr 3.40-3.78
Pb  0.2500  0.1764  0.4156  10 Sr 3.54-3.82
Pb  0.2500  0.9734  0.7942  10 Sr 3.40-3.78
Pb  0.2500  0.6764  0.0844  10 Sr 3.54-3.82
Pb  0.7500  0.8236  0.5844  10 Sr 3.54-3.82
Pb  0.7500  0.3236  0.9156  10 Sr 3.54-3.82
Pb  0.7500  0.0266  0.2058  10 Sr 3.40-3.78
N  0.7500  0.3214  0.5657  6 Sr 2.48-2.72
N  0.2500  0.1786  0.0657  6 Sr 2.48-2.72
N  0.2500  0.6786  0.4343  6 Sr 2.48-2.72
N  0.7500  0.8214  0.9343  6 Sr 2.48-2.72

Output
Theoretical density ... 5.32 g cm⁻³
DFT total energy ... -3.57 eV per atom
Total magnetization ... 0.0 μB per cell
Formation energy (no corrections) ... -0.547 eV per atom

=====

The following is a PBE-GGA calculation of a relaxed Sr2PbN crystal, from Alexandria.

a b c (Å): 3.8730 6.5797 9.3653
angles (deg): 108.36 90.00 89.99
With the nearest neighbours (Å) after each atom.
Element x y z (fractional)
N  0.2777  0.8494  0.5589  6 Sr 2.58-2.63
N  0.7776  0.3367  0.5445  6 Sr 2.58-2.63
Sr  0.2777  0.1014  0.3922  3 N 2.61
Sr  0.2776  0.5726  0.7019  3 N 2.58-2.63
Sr  0.7777  0.6134  0.4015  3 N 2.58-2.63
Sr  0.7777  0.0846  0.7111  3 N 2.61
Pb  0.7775  0.7849  0.0439  2 Pb 3.22
Pb  0.2779  0.4012  0.0594  2 Pb 3.22

Output
Theoretical density ... 5.81 g cm⁻³
DFT total energy ... -4.37 eV per atom
Total magnetization ... 0.0 μB per cell
Formation energy (no corrections) ... -0.521 eV per atom

=====

The following is a PBE-GGA calculation of a relaxed Sr8PbN2 crystal, from Alexandria.

a b c (Å): 7.0087 7.0087 7.4288
angles (deg): 90.00 90.00 90.00
With the nearest neighbours (Å) after each atom.
Element x y z (fractional)
Sr  0.7537  0.7537  0.7882  2 N 2.94, 1 Sr 3.15
Sr  0.2463  0.2463  0.2118  2 N 2.94, 1 Sr 3.15
Sr  0.2463  0.7537  0.2118  2 N 2.94, 1 Sr 3.15
Sr  0.7537  0.2463  0.7882  2 N 2.94, 1 Sr 3.15
Sr  0.2463  0.2463  0.7882  2 N 2.94, 1 Sr 3.15
Sr  0.7537  0.7537  0.2118  2 N 2.94, 1 Sr 3.15
Sr  0.7537  0.2463  0.2118  2 N 2.94, 1 Sr 3.15
Sr  0.2463  0.7537  0.7882  2 N 2.94, 1 Sr 3.15
Pb  0.5000  0.5000  0.5000  8 Sr 3.30
N  0.0000  0.5000  0.0000  8 Sr 2.94
N  0.5000  0.0000  0.0000  8 Sr 2.94

Output
Theoretical density ... 4.26 g cm⁻³
DFT total energy ... -3.07 eV per atom
Total magnetization ... 0.0 μB per cell
Formation energy (no corrections) ... 0.001 eV per atom

=====

The following is a PBE-GGA calculation of a relaxed Sr6Pb2N crystal, from Alexandria.

a b c (Å): 3.9637 10.5957 9.6190
angles (deg): 123.42 90.00 90.00
With the nearest neighbours (Å) after each atom.
Element x y z (fractional)
Sr  0.5000  0.4369  0.4379  4 Pb 3.53-3.59
Sr  0.0000  0.0062  0.1972  2 N 2.61
Sr  0.5000  0.9990  0.5621  4 Pb 3.53-3.59
Sr  0.5000  0.6217  0.0000  1 N 2.41
Sr  0.0000  0.8090  0.8028  2 N 2.61
Sr  0.0000  0.2919  0.0000  2 Pb 3.54
Pb  0.0000  0.3174  0.6485  8 Sr 3.53-3.74
Pb  0.0000  0.6689  0.3515  8 Sr 3.53-3.74
N  0.5000  0.8492  0.0000  5 Sr 2.41-2.61

Output
Relative energy among the computed polymorphs ... 1.71 eV/f.u.
Theoretical density ... 4.70 g cm⁻³
DFT total energy ... -3.26 eV per atom
Total magnetization ... 0.0 μB per cell
Formation energy (no corrections) ... -0.387 eV per atom